Record 1
# BaCaLa3 (PBE, optimized geometry)
data_BaCaLa3
_chemical_formula_sum 'Ba1 Ca1 La3'
_cell_length_a 6.1500
_cell_length_b 6.1500
_cell_length_c 6.1500
_cell_angle_alpha 90.00
_cell_angle_beta 90.00
_cell_angle_gamma 90.00
_symmetry_space_group_name_H-M 'P m -3 m'
_symmetry_Int_Tables_number 221
_symmetry_space_group_name_Hall '-P 4 2 3'
loop_
_atom_site_label
_atom_site_type_symbol
_atom_site_fract_x
_atom_site_fract_y
_atom_site_fract_z
Ba1 Ba 0.0000 0.0000 0.0000
Ca1 Ca 0.5000 0.5000 0.5000
La1 La 0.0000 0.5000 0.5000
# offset from the most stable computed form = 0.0 meV per atom
# Fermi-level density of states = 5.1 states/eV/cell
# volume = 233 Å³ per cell
# energy of formation from the pure elements = 577.4 meV per atom

Record 2
# Nd7ThIn4 (PBE, optimized geometry)
data_Nd7ThIn4
_chemical_formula_sum 'Nd14 Th2 In8'
_cell_length_a 14.7040
_cell_length_b 5.9558
_cell_length_c 10.5569
_cell_angle_alpha 90.00
_cell_angle_beta 123.07
_cell_angle_gamma 90.00
_symmetry_space_group_name_H-M 'C 1 2/m 1'
_symmetry_Int_Tables_number 12
loop_
_symmetry_equiv_pos_as_xyz
'x,y,z'
'-x,-y,-z'
'-x,y,-z'
'x,-y,z'
'x+1/2,y+1/2,z'
'-x+1/2,-y+1/2,-z'
'-x+1/2,y+1/2,-z'
'x+1/2,-y+1/2,z'
loop_
_atom_site_label
_atom_site_type_symbol
_atom_site_fract_x
_atom_site_fract_y
_atom_site_fract_z
Nd1 Nd 0.0000 0.0000 0.0000
Nd2 Nd 0.0623 0.5000 0.3900
Nd3 Nd 0.2029 0.5000 0.8850
Nd4 Nd 0.2261 0.0000 0.6682
Th1 Th 0.0000 0.5000 0.0000
In1 In 0.0525 0.0000 0.7430
In2 In 0.1841 0.0000 0.3360
# Fermi-level density of states = 24.8 states/eV/cell
# volume = 775 Å³ per cell
# energy of formation from the pure elements = -106.9 meV per atom

Record 3
# BaCu3 (PBE, optimized geometry)
data_BaCu3
_chemical_formula_sum 'Ba3 Cu9'
_cell_length_a 7.9404
_cell_length_b 7.9404
_cell_length_c 4.9036
_cell_angle_alpha 90.00
_cell_angle_beta 90.00
_cell_angle_gamma 120.00
_symmetry_space_group_name_H-M 'R -3 m'
_symmetry_Int_Tables_number 166
_symmetry_space_group_name_Hall '-R 3 2"'
loop_
_atom_site_label
_atom_site_type_symbol
_atom_site_fract_x
_atom_site_fract_y
_atom_site_fract_z
Ba1 Ba 0.0000 0.0000 0.0000
Cu1 Cu 0.0000 0.5000 0.0000
# Fermi-level density of states = 3.8 states/eV/cell
# volume = 268 Å³ per cell
# energy of formation from the pure elements = 490.0 meV per atom

Record 4
# TmAgPbSe3 (PBE, optimized geometry)
data_TmAgPbSe3
_chemical_formula_sum 'Tm2 Ag2 Pb2 Se6'
_cell_length_a 8.4016
_cell_length_b 4.1285
_cell_length_c 9.2774
_cell_angle_alpha 90.00
_cell_angle_beta 104.10
_cell_angle_gamma 90.00
_symmetry_space_group_name_H-M 'P 1 21/m 1'
_symmetry_Int_Tables_number 11
loop_
_symmetry_equiv_pos_as_xyz
'x,y,z'
'-x,-y,-z'
'-x,y+1/2,-z'
'x,-y+1/2,z'
loop_
_atom_site_label
_atom_site_type_symbol
_atom_site_fract_x
_atom_site_fract_y
_atom_site_fract_z
Tm1 Tm 0.1756 0.2500 0.1664
Ag1 Ag 0.4100 0.7500 0.4121
Pb1 Pb 0.3023 0.7500 0.7555
Se1 Se 0.0637 0.2500 0.8483
Se2 Se 0.2348 0.2500 0.4834
Se3 Se 0.3967 0.7500 0.1241
# volume = 312 Å³ per cell
# uncorrected formation energy = -0.963 eV per atom

Record 5
# NpTl2Br2O2 (PBE, optimized geometry)
data_NpTl2Br2O2
_chemical_formula_sum 'Np2 Tl4 Br4 O4'
_cell_length_a 4.4216
_cell_length_b 4.4216
_cell_length_c 18.2387
_cell_angle_alpha 90.00
_cell_angle_beta 90.00
_cell_angle_gamma 90.00
_symmetry_space_group_name_H-M 'I 4/m m m'
_symmetry_Int_Tables_number 139
_symmetry_space_group_name_Hall '-I 4 2'
loop_
_atom_site_label
_atom_site_type_symbol
_atom_site_fract_x
_atom_site_fract_y
_atom_site_fract_z
Np1 Np 0.0000 0.0000 0.0000
Tl1 Tl 0.0000 0.0000 0.3765
Br1 Br 0.0000 0.0000 0.1656
O1 O 0.0000 0.5000 0.0000
# Fermi-level density of states = 19.0 states/eV/cell
# volume = 357 Å³ per cell
# uncorrected formation energy = -1.587 eV per atom

Record 6
# Nd2Sm4ErTm (PBE, optimized geometry)
data_Nd2Sm4ErTm
_chemical_formula_sum 'Nd8 Sm16 Er4 Tm4'
_cell_length_a 13.7206
_cell_length_b 13.3011
_cell_length_c 6.8693
_cell_angle_alpha 90.00
_cell_angle_beta 119.85
_cell_angle_gamma 90.00
_symmetry_space_group_name_H-M 'C 1 2/c 1'
_symmetry_Int_Tables_number 15
loop_
_symmetry_equiv_pos_as_xyz
'x,y,z'
'-x,-y,-z'
'-x,y,-z+1/2'
'x,-y,z+1/2'
'x+1/2,y+1/2,z'
'-x+1/2,-y+1/2,-z'
'-x+1/2,y+1/2,-z+1/2'
'x+1/2,-y+1/2,z+1/2'
loop_
_atom_site_label
_atom_site_type_symbol
_atom_site_fract_x
_atom_site_fract_y
_atom_site_fract_z
Nd1 Nd 0.0000 0.0000 0.0000
Nd2 Nd 0.2500 0.2500 0.0000
Sm1 Sm 0.0044 0.2557 0.0043
Sm2 Sm 0.2464 0.4972 0.4702
Er1 Er 0.2500 0.2500 0.5000
Tm1 Tm 0.0000 0.5000 0.0000
# Fermi-level density of states = 76.3 states/eV/cell
# volume = 1087 Å³ per cell
# energy of formation from the pure elements = 398.8 meV per atom

For the records above, the corresponding spin magnetization values read 0.000 0.000 0.000 0.000 0.429 0.000 μB per atom.